[1]
Compound: SrNb2O4
Source: Alexandria via LeMat-Bulk
Functional: GGA-PBE
Structure: relaxed

Cell and atoms, written as POSCAR:
```
SrNb2O4
1.0
5.1509 0.0000 0.0000
0.0000 12.6270 0.0000
0.0000 0.0000 5.9485
Sr Nb O
4 8 16
Direct
0.1985 0.0039 0.2500
0.1985 0.4961 0.7500
0.8015 0.5039 0.2500
0.8015 0.9961 0.7500
0.1584 0.7473 0.2500
0.1584 0.7527 0.7500
0.3443 0.2500 0.0000
0.3443 0.2500 0.5000
0.6557 0.7500 0.0000
0.6557 0.7500 0.5000
0.8416 0.2473 0.2500
0.8416 0.2527 0.7500
0.0081 0.1437 0.5043
0.0081 0.1437 0.9957
0.0081 0.3563 0.0043
0.0081 0.3563 0.4957
0.4888 0.6455 0.2500
0.4894 0.6484 0.7500
0.4894 0.8516 0.2500
0.4888 0.8545 0.7500
0.5112 0.1455 0.2500
0.5106 0.1484 0.7500
0.5106 0.3516 0.2500
0.5112 0.3545 0.7500
0.9919 0.6437 0.5043
0.9919 0.6437 0.9957
0.9919 0.8563 0.0043
0.9919 0.8563 0.4957
```

Summary:
The space group is Pbcm. As for the crystal system: orthorhombic. The value obtained for the uncorrected formation energy is -2.5993 eV per atom.

[2]
Compound: SrTaNb2O8
Source: Alexandria via LeMat-Bulk
Functional: GGA-PBE
Structure: relaxed

Cell and atoms, written as POSCAR:
```
SrTaNb2O8
1.0
3.4152 -3.5629 0.0000
3.4152 3.5629 0.0000
0.0000 0.0000 6.6009
Sr Ta Nb O
1 1 2 8
Direct
0.0000 0.0000 0.0000
0.0000 0.0000 0.5000
0.5000 0.5000 0.2543
0.5000 0.5000 0.7457
0.2115 0.2115 0.2930
0.2115 0.2115 0.7070
0.2882 0.7118 0.5000
0.3345 0.6655 0.0000
0.6655 0.3345 0.0000
0.7118 0.2882 0.5000
0.7885 0.7885 0.2930
0.7885 0.7885 0.7070
```

Summary:
The space group is Cmmm. As for the crystal system: orthorhombic. The value obtained for the uncorrected formation energy is -2.6448 eV per atom. The density of states at the Fermi level is 0.1407 states/eV/atom.